No. 1
A plane-wave DFT calculation with meta-GGA SCAN was carried out for a PBEsol-optimized structure of SiAs3P.

abc: 4.684 4.684 4.684
angles: 90.00 90.00 90.00
Sites, in units of the cell vectors:
P: 0.000 0.000 0.000
As: 0.500 0.000 0.000
As: 0.000 0.000 0.500
As: 0.000 0.500 0.000
Si: 0.500 0.500 0.500

## Properties
The uncorrected formation energy is 97.6 kJ/mol of atoms. Its space group is Pm-3m. Its density of states at the Fermi level is 0.605 states/eV/atom. For the total energy, the calculation gives -75.926 eV per cell.

No. 2
A plane-wave DFT calculation with meta-GGA SCAN was carried out for a PBEsol-optimized structure of BaTaMnPb2.

abc: 5.444 5.444 5.832
angles: 90.00 90.00 90.00
Sites, in units of the cell vectors:
Mn: 0.500 0.500 0.500
Pb: 0.500 0.000 0.000
Pb: 0.000 0.500 0.000
Ba: 0.000 0.000 0.500
Ta: 0.000 0.000 0.000

## Properties
Its space group is P4/mmm. The calculation puts the formation energy at 16.2 kcal/mol of atoms. Its density of states at the Fermi level is 0.573 states/eV/atom. For the total energy, the calculation gives -272.440 eV per cell.

No. 3
A plane-wave DFT calculation with meta-GGA SCAN was carried out for a PBEsol-optimized structure of CoHO2.

abc: 2.846 2.846 8.580
angles: 90.00 90.00 120.00
Sites, in units of the cell vectors:
O: 0.667 0.333 0.890
O: 0.667 0.333 0.610
O: 0.333 0.667 0.390
O: 0.333 0.667 0.110
H: 0.667 0.333 0.750
H: 0.333 0.667 0.250
Co: 0.000 0.000 0.500
Co: 0.000 0.000 0.000

## Properties
Its space group is P6_3/mmc. Its density of states at the Fermi level is 0.000 states/eV/atom. For the total energy, the calculation gives -77.333 eV per cell.

No. 4
A plane-wave DFT calculation with meta-GGA SCAN was carried out for a PBEsol-optimized structure of TiGeF2.

abc: 2.920 2.920 8.338
angles: 79.92 79.92 60.00
Sites, in units of the cell vectors:
F: 0.925 0.925 0.226
F: 0.075 0.075 0.774
Ti: 0.000 0.000 0.000
Ge: 0.500 0.500 0.500

## Properties
The uncorrected formation energy is -155.7 kJ/mol of atoms. Its space group is R-3m. Its density of states at the Fermi level is 0.435 states/eV/atom. For the total energy, the calculation gives -48.654 eV per cell.

No. 5
A plane-wave DFT calculation with meta-GGA SCAN was carried out for a PBEsol-optimized structure of ScCo.

abc: 4.130 4.130 4.483
angles: 90.00 90.00 120.00
Sites, in units of the cell vectors:
Sc: 0.667 0.333 0.750
Sc: 0.333 0.667 0.250
Co: 0.000 0.000 0.500
Co: 0.000 0.000 0.000

## Properties
Its space group is P6_3/mmc. The calculation puts the formation energy at -3.6 kcal/mol of atoms. Its density of states at the Fermi level is 0.426 states/eV/atom. For the total energy, the calculation gives -63.700 eV per cell.

No. 6
A plane-wave DFT calculation with meta-GGA SCAN was carried out for a PBEsol-optimized structure of ZnSb2.

abc: 4.913 4.913 6.546
angles: 90.00 90.00 120.00
Sites, in units of the cell vectors:
Sb: 0.000 0.000 0.000
Sb: 0.000 0.000 0.500
Sb: 0.667 0.333 0.750
Sb: 0.333 0.667 0.250
Zn: 0.667 0.333 0.250
Zn: 0.333 0.667 0.750

## Properties
The uncorrected formation energy is 30.2 kJ/mol of atoms. Its space group is P6_3/mmc. Its density of states at the Fermi level is 0.604 states/eV/atom. For the total energy, the calculation gives -174.198 eV per cell.

No. 7
A plane-wave DFT calculation with meta-GGA SCAN was carried out for a PBEsol-optimized structure of Zr2CrSiC.

abc: 3.489 5.071 5.071
angles: 90.00 90.00 90.00
Sites, in units of the cell vectors:
C: 0.500 0.000 0.000
Zr: 0.000 0.500 0.000
Zr: 0.000 0.000 0.500
Cr: 0.500 0.500 0.500
Si: 0.000 0.000 0.000

## Properties
The uncorrected formation energy is 84.6 kJ/mol of atoms. Its space group is P4/mmm. Its density of states at the Fermi level is 0.552 states/eV/atom. For the total energy, the calculation gives -95.514 eV per cell.

No. 8
A plane-wave DFT calculation with meta-GGA SCAN was carried out for a PBEsol-optimized structure of TcHg.

abc: 2.922 2.922 8.134
angles: 90.00 90.00 90.00
Sites, in units of the cell vectors:
Hg: 0.000 0.500 0.849
Hg: 0.500 0.000 0.151
Tc: 0.500 0.000 0.588
Tc: 0.000 0.500 0.412

## Properties
Its space group is P4/nmm. The calculation puts the formation energy at 5.0 kcal/mol of atoms. Its density of states at the Fermi level is 0.469 states/eV/atom. For the total energy, the calculation gives -205.576 eV per cell.

No. 9
A plane-wave DFT calculation with meta-GGA SCAN was carried out for a PBEsol-optimized structure of Ca3PCl3.

abc: 5.624 5.624 5.624
angles: 90.00 90.00 90.00
Sites, in units of the cell vectors:
Cl: 0.500 0.500 0.000
Cl: 0.000 0.500 0.500
Cl: 0.500 0.000 0.500
Ca: 0.000 0.500 0.000
Ca: 0.500 0.000 0.000
Ca: 0.000 0.000 0.500
P: 0.000 0.000 0.000

## Properties
The uncorrected formation energy is -217.8 kJ/mol of atoms. Its space group is Pm-3m. Its density of states at the Fermi level is 0.000 states/eV/atom. For the total energy, the calculation gives -79.125 eV per cell.

No. 10
A plane-wave DFT calculation with meta-GGA SCAN was carried out for a PBEsol-optimized structure of CaNiRh.

abc: 3.251 3.264 5.412
angles: 107.62 107.53 89.99
Sites, in units of the cell vectors:
Ca: 0.000 0.000 0.999
Ni: 0.711 0.711 0.422
Rh: 0.290 0.290 0.580

## Properties
Its space group is Imm2. The calculation puts the formation energy at -0.8 kcal/mol of atoms. Its density of states at the Fermi level is 1.023 states/eV/atom. For the total energy, the calculation gives -59.708 eV per cell.

No. 11
A plane-wave DFT calculation with meta-GGA SCAN was carried out for a PBEsol-optimized structure of Co2PbBr.

abc: 3.124 4.077 5.540
angles: 90.00 90.00 90.00
Sites, in units of the cell vectors:
Co: 0.000 0.000 0.000
Co: 0.500 0.000 0.500
Pb: 0.500 0.500 0.000
Br: 0.000 0.500 0.500

## Properties
The uncorrected formation energy is 59.7 kJ/mol of atoms. Its space group is Pmmm. Its density of states at the Fermi level is 0.438 states/eV/atom. For the total energy, the calculation gives -127.376 eV per cell.

No. 12
A plane-wave DFT calculation with meta-GGA SCAN was carried out for a PBEsol-optimized structure of CoNiRh2.

abc: 2.593 3.949 4.928
angles: 90.00 105.25 90.00
Sites, in units of the cell vectors:
Ni: 0.559 0.500 0.117
Co: 0.691 0.000 0.383
Rh: 0.954 0.000 0.908
Rh: 0.296 0.500 0.592

## Properties
Its space group is Amm2. The calculation puts the formation energy at 1.0 kcal/mol of atoms. Its density of states at the Fermi level is 0.826 states/eV/atom. For the total energy, the calculation gives -100.843 eV per cell.

No. 13
A plane-wave DFT calculation with meta-GGA SCAN was carried out for a PBEsol-optimized structure of InAgAs2.

abc: 3.720 4.416 4.829
angles: 90.00 90.00 90.00
Sites, in units of the cell vectors:
In: 0.500 0.000 0.500
Ag: 0.000 0.500 0.500
As: 0.000 0.000 0.000
As: 0.500 0.500 0.000

## Properties
Its space group is Pmmm. The calculation puts the formation energy at 7.0 kcal/mol of atoms. Its density of states at the Fermi level is 0.450 states/eV/atom. For the total energy, the calculation gives -103.913 eV per cell.

No. 14
A plane-wave DFT calculation with meta-GGA SCAN was carried out for a PBEsol-optimized structure of RbCuSb2H2Se4O.

abc: 4.025 10.878 20.886
angles: 90.00 90.00 90.00
Sites, in units of the cell vectors:
H: 0.561 0.621 0.921
H: 0.061 0.879 0.421
H: 0.939 0.621 0.921
H: 0.439 0.879 0.421
H: 0.439 0.379 0.079
H: 0.061 0.379 0.079
H: 0.939 0.121 0.579
H: 0.561 0.121 0.579
Se: 0.250 0.084 0.848
Se: 0.250 0.717 0.840
Se: 0.750 0.900 0.708
Se: 0.250 0.584 0.652
Se: 0.250 0.358 0.498
Se: 0.750 0.416 0.348
Se: 0.750 0.916 0.152
Se: 0.750 0.783 0.340
Se: 0.750 0.400 0.792
Se: 0.250 0.217 0.660
Se: 0.250 0.858 0.002
Se: 0.750 0.642 0.502
Se: 0.750 0.142 0.998
Se: 0.750 0.283 0.160
Se: 0.250 0.600 0.208
Se: 0.250 0.100 0.292
O: 0.250 0.419 0.056
O: 0.250 0.919 0.444
O: 0.750 0.581 0.944
O: 0.750 0.081 0.556
Rb: 0.750 0.633 0.078
Rb: 0.250 0.867 0.578
Rb: 0.750 0.133 0.422
Rb: 0.250 0.367 0.922
Sb: 0.250 0.043 0.083
Sb: 0.250 0.869 0.260
Sb: 0.250 0.543 0.417
Sb: 0.250 0.369 0.240
Sb: 0.750 0.631 0.760
Sb: 0.750 0.957 0.917
Sb: 0.750 0.131 0.740
Sb: 0.750 0.457 0.583
Cu: 0.250 0.411 0.725
Cu: 0.750 0.589 0.275
Cu: 0.250 0.911 0.775
Cu: 0.750 0.089 0.225

## Properties
Its space group is Pnma. Its density of states at the Fermi level is 0.003 states/eV/atom. For the total energy, the calculation gives -843.637 eV per cell.

No. 15
A plane-wave DFT calculation with meta-GGA SCAN was carried out for a PBEsol-optimized structure of ZrCdW.

abc: 2.814 2.814 7.284
angles: 101.14 101.14 90.00
Sites, in units of the cell vectors:
Cd: 0.005 0.005 0.011
W: 0.666 0.666 0.331
Zr: 0.329 0.329 0.658

## Properties
Its space group is I4mm. The calculation puts the formation energy at 6.9 kcal/mol of atoms. Its density of states at the Fermi level is 0.526 states/eV/atom. For the total energy, the calculation gives -129.908 eV per cell.

No. 16
A plane-wave DFT calculation with meta-GGA SCAN was carried out for a PBEsol-optimized structure of CsZnF2.

abc: 3.579 3.579 7.666
angles: 76.50 76.50 60.00
Sites, in units of the cell vectors:
Zn: 0.500 0.500 0.500
F: 0.125 0.125 0.626
F: 0.875 0.875 0.374
Cs: 0.000 0.000 0.000

## Properties
The uncorrected formation energy is -153.3 kJ/mol of atoms. Its space group is R-3m. Its density of states at the Fermi level is 0.314 states/eV/atom. For the total energy, the calculation gives -64.761 eV per cell.

No. 17
A plane-wave DFT calculation with meta-GGA SCAN was carried out for a PBEsol-optimized structure of Mn2C.

abc: 2.877 4.537 4.537
angles: 90.00 90.00 90.00
Sites, in units of the cell vectors:
Mn: 0.000 0.201 0.201
Mn: 0.000 0.799 0.799
Mn: 0.500 0.701 0.299
Mn: 0.500 0.299 0.701
C: 0.000 0.500 0.500
C: 0.500 0.000 0.000

## Properties
Its space group is P4_2/mnm. The calculation puts the formation energy at -4.1 kcal/mol of atoms. Its density of states at the Fermi level is 0.418 states/eV/atom. For the total energy, the calculation gives -94.281 eV per cell.

No. 18
A plane-wave DFT calculation with meta-GGA SCAN was carried out for a PBEsol-optimized structure of ZnBr.

abc: 4.008 4.008 4.007
angles: 60.00 60.00 60.00
Sites, in units of the cell vectors:
Zn: 0.500 0.500 0.500
Br: 0.000 0.000 0.000

## Properties
The uncorrected formation energy is -9.5 kJ/mol of atoms. Its space group is Fm-3m. Its density of states at the Fermi level is 0.463 states/eV/atom. For the total energy, the calculation gives -33.172 eV per cell.

No. 19
A plane-wave DFT calculation with meta-GGA SCAN was carried out for a PBEsol-optimized structure of SbPb3.

abc: 3.436 3.436 11.208
angles: 90.00 90.00 120.00
Sites, in units of the cell vectors:
Pb: 0.333 0.667 0.000
Pb: 0.000 0.000 0.745
Pb: 0.000 0.000 0.255
Sb: 0.333 0.667 0.500

## Properties
The uncorrected formation energy is 8.2 kJ/mol of atoms. Its space group is P-6m2. Its density of states at the Fermi level is 0.422 states/eV/atom. For the total energy, the calculation gives -264.265 eV per cell.

No. 20
A plane-wave DFT calculation with meta-GGA SCAN was carried out for a PBEsol-optimized structure of MnCr2Ir.

abc: 2.657 2.657 6.680
angles: 90.00 90.00 90.00
Sites, in units of the cell vectors:
Mn: 0.500 0.500 0.500
Cr: 0.000 0.000 0.725
Cr: 0.000 0.000 0.275
Ir: 0.500 0.500 0.000

## Properties
Its space group is P4/mmm. The calculation puts the formation energy at -1.2 kcal/mol of atoms. Its density of states at the Fermi level is 0.992 states/eV/atom. For the total energy, the calculation gives -126.329 eV per cell.

No. 21
A plane-wave DFT calculation with meta-GGA SCAN was carried out for a PBEsol-optimized structure of Y2Ga9Rh3.

abc: 7.437 7.437 9.389
angles: 90.00 90.00 119.69
Sites, in units of the cell vectors:
Ga: 0.335 0.001 0.921
Ga: 0.339 0.548 0.750
Ga: 0.548 0.339 0.750
Ga: 0.333 0.333 0.435
Ga: 0.001 0.335 0.579
Ga: 0.335 0.001 0.579
Ga: 0.665 0.999 0.421
Ga: 0.667 0.667 0.565
Ga: 0.999 0.665 0.421
Ga: 0.661 0.452 0.250
Ga: 0.872 0.872 0.250
Ga: 0.128 0.128 0.750
Ga: 0.667 0.667 0.935
Ga: 0.333 0.333 0.065
Ga: 0.452 0.661 0.250
Ga: 0.999 0.665 0.079
Ga: 0.665 0.999 0.079
Ga: 0.001 0.335 0.921
Y: 0.002 0.330 0.250
Y: 0.330 0.002 0.250
Y: 0.670 0.998 0.750
Y: 0.998 0.670 0.750
Rh: 0.328 0.672 0.500
Rh: 0.672 0.328 0.500
Rh: 0.000 0.000 0.500
Rh: 0.672 0.328 0.000
Rh: 0.000 0.000 0.000
Rh: 0.328 0.672 0.000

## Properties
Its space group is Cmcm. The calculation puts the formation energy at -19.2 kcal/mol of atoms. Its density of states at the Fermi level is 0.248 states/eV/atom. For the total energy, the calculation gives -631.609 eV per cell.

No. 22
A plane-wave DFT calculation with meta-GGA SCAN was carried out for a PBEsol-optimized structure of TaSbRu2.

abc: 2.920 5.094 5.215
angles: 118.07 104.41 93.65
Sites, in units of the cell vectors:
Ru: 0.000 0.000 0.500
Ru: 0.500 0.500 0.500
Ta: 0.000 0.500 0.000
Sb: 0.500 0.000 0.000

## Properties
The uncorrected formation energy is 19.4 kJ/mol of atoms. Its space group is C2/m. Its density of states at the Fermi level is 0.923 states/eV/atom. For the total energy, the calculation gives -172.692 eV per cell.

No. 23
A plane-wave DFT calculation with meta-GGA SCAN was carried out for a PBEsol-optimized structure of Tc2MoP.

abc: 2.813 4.424 4.706
angles: 93.33 90.00 108.54
Sites, in units of the cell vectors:
Mo: 0.500 0.000 0.000
Tc: 0.249 0.498 0.263
Tc: 0.751 0.502 0.737
P: 0.000 0.000 0.500

## Properties
Its space group is C2/m. The calculation puts the formation energy at 1.2 kcal/mol of atoms. Its density of states at the Fermi level is 0.681 states/eV/atom. For the total energy, the calculation gives -115.199 eV per cell.

No. 24
A plane-wave DFT calculation with meta-GGA SCAN was carried out for a PBEsol-optimized structure of TcPBr2.

abc: 3.607 4.940 5.375
angles: 114.21 90.00 90.00
Sites, in units of the cell vectors:
Tc: 0.500 0.285 0.568
Br: 0.000 0.093 0.156
Br: 0.500 0.733 0.454
P: 0.000 0.389 0.822

## Properties
The uncorrected formation energy is -8.9 kJ/mol of atoms. Its space group is Pm. Its density of states at the Fermi level is 0.283 states/eV/atom. For the total energy, the calculation gives -84.748 eV per cell.

No. 25
A plane-wave DFT calculation with meta-GGA SCAN was carried out for a PBEsol-optimized structure of Sc2TaTc.

abc: 3.193 3.193 7.492
angles: 90.00 90.00 90.00
Sites, in units of the cell vectors:
Sc: 0.000 0.000 0.946
Sc: 0.500 0.500 0.285
Ta: 0.000 0.000 0.539
Tc: 0.500 0.500 0.730

## Properties
Its space group is P4mm. The calculation puts the formation energy at -5.0 kcal/mol of atoms. Its density of states at the Fermi level is 0.773 states/eV/atom. For the total energy, the calculation gives -130.991 eV per cell.

No. 26
A plane-wave DFT calculation with meta-GGA SCAN was carried out for a PBEsol-optimized structure of As2PtSeF.

abc: 4.200 4.200 4.967
angles: 90.00 90.00 90.00
Sites, in units of the cell vectors:
Pt: 0.500 0.500 0.500
Se: 0.000 0.000 0.500
As: 0.500 0.000 0.000
As: 0.000 0.500 0.000
F: 0.000 0.000 0.000

## Properties
The uncorrected formation energy is 63.2 kJ/mol of atoms. Its space group is P4/mmm. Its density of states at the Fermi level is 0.583 states/eV/atom. For the total energy, the calculation gives -130.919 eV per cell.